Record 1
Entry from Alexandria: a relaxed MnSiHg3 crystal (GGA-PBE).

The structure belongs to space group Pm-3m (No. 221); the cell edges are 5.130, 5.130 and 5.130 Å and the angles 90.00°, 90.00° and 90.00°. The inequivalent atoms are Mn at (0.000, 0.000, 0.000), Si at (0.500, 0.500, 0.500) and Hg at (0.000, 0.500, 0.500).

The calculation puts the offset from the most stable computed form at 0.000 eV/atom. The uncorrected formation energy comes out at 0.6896 eV/atom. The calculation puts the raw total energy at -2.410 eV per atom. For the density of states at the Fermi level, the calculation gives 0.54 states/eV per atom.



Record 2
Entry from Alexandria: a relaxed Sm4MgSb crystal (GGA-PBE).

The structure belongs to space group Cmcm (No. 63); the cell edges are 5.568, 22.162 and 6.573 Å and the angles 90.00°, 90.00° and 90.00°. The inequivalent atoms are Sm at (0.000, 0.073, 0.250), Sm at (0.000, 0.208, 0.002), Sm at (0.000, 0.365, 0.250), Mg at (0.000, 0.069, 0.750) and Sb at (0.000, 0.343, 0.750).

The uncorrected formation energy comes out at -0.1327 eV/atom. The calculation puts the raw total energy at -4.232 eV per atom. For the density of states at the Fermi level, the calculation gives 1.35 states/eV per atom.



Record 3
Entry from Alexandria: a relaxed GaNi5Ir crystal (GGA-PBE).

The structure belongs to space group Imma (No. 74); the cell edges are 7.287, 7.680 and 6.397 Å and the angles 90.00°, 90.00° and 90.00°. The inequivalent atoms are Ga at (0.000, 0.250, 0.057), Ni at (0.000, 0.020, 0.748), Ni at (0.000, 0.250, 0.467), Ni at (0.247, 0.000, 0.500) and Ir at (0.250, 0.250, 0.750).

The calculation puts the offset from the most stable computed form at 0.050 eV/atom. The formation energy is 0.02 eV/atom. The calculation puts the raw total energy at -5.807 eV per atom. For the density of states at the Fermi level, the calculation gives 1.59 states/eV per atom.



Record 4
Entry from Alexandria: a relaxed PuPtRhO6 crystal (GGA-PBE).

The structure belongs to space group P-31c (No. 163); the cell edges are 5.2599, 5.2599 and 9.0103 Å and the angles 90.00°, 90.00° and 120.00°. The inequivalent atoms are Pu at (0.3333, 0.6667, 0.2500), Pt at (0.3333, 0.6667, 0.7500), Rh at (0.0000, 0.0000, 0.0000) and O at (0.0096, 0.3366, 0.6224).

The uncorrected formation energy comes out at -1.3628 eV/atom. The calculation puts the raw total energy at -7.749 eV per atom. For the density of states at the Fermi level, the calculation gives 0.79 states/eV per atom.



Record 5
Entry from Alexandria: a relaxed MgSc4Rh crystal (GGA-PBE).

The structure belongs to space group F-43m (No. 216); the cell edges are 12.859, 12.859 and 12.859 Å and the angles 90.00°, 90.00° and 90.00°. The inequivalent atoms are Mg at (0.082, 0.082, 0.082), Sc at (0.000, 0.000, 0.313), Sc at (0.065, 0.250, 0.250), Sc at (0.151, 0.151, 0.849) and Rh at (0.142, 0.142, 0.642).

The calculation puts the offset from the most stable computed form at 0.000 eV/atom. The formation energy is -0.37 eV/atom. The calculation puts the raw total energy at -6.079 eV per atom. For the density of states at the Fermi level, the calculation gives 1.21 states/eV per atom.



Record 6
Entry from Alexandria: a relaxed MgInO2 crystal (GGA-PBE).

The structure belongs to space group R-3m (No. 166, hexagonal axes); the cell edges are 3.1783, 3.1783 and 18.4255 Å and the angles 90.00°, 90.00° and 120.00°. The inequivalent atoms are Mg at (0.0000, 0.0000, 0.0000), In at (0.0000, 0.0000, 0.5000) and O at (0.0000, 0.0000, 0.3897).

The calculation puts the offset from the most stable computed form at 0.189 eV/atom. The uncorrected formation energy comes out at -1.5785 eV/atom. The calculation puts the raw total energy at -5.141 eV per atom. For the density of states at the Fermi level, the calculation gives 0.34 states/eV per atom.



Record 7
Entry from Alexandria: a relaxed UAsBr crystal (GGA-PBE).

The structure belongs to space group P-6m2 (No. 187); the cell edges are 4.9764, 4.9764 and 3.2088 Å and the angles 90.00°, 90.00° and 120.00°. The inequivalent atoms are U at (0.0000, 0.0000, 0.0000), As at (0.6667, 0.3333, 0.5000) and Br at (0.3333, 0.6667, 0.0000).

The uncorrected formation energy comes out at -0.3344 eV/atom. The calculation puts the raw total energy at -6.205 eV per atom. For the density of states at the Fermi level, the calculation gives 2.10 states/eV per atom.



Record 8
Entry from Alexandria: a relaxed Ac3Cd2In7 crystal (GGA-PBE).

The structure belongs to space group R-3m (No. 166, hexagonal axes); the cell edges are 6.3069, 6.3069 and 29.8377 Å and the angles 90.00°, 90.00° and 120.00°. The inequivalent atoms are Ac at (0.0000, 0.0000, 0.0000), Ac at (0.0000, 0.0000, 0.1399), Cd at (0.0000, 0.0000, 0.3357), In at (0.0000, 0.0000, 0.5000) and In at (0.0077, 0.5039, 0.9174).

The formation energy is -0.32 eV/atom. The calculation puts the raw total energy at -3.099 eV per atom. For the density of states at the Fermi level, the calculation gives 0.47 states/eV per atom.



Record 9
Entry from Alexandria: a relaxed LaDy4Y3Se8 crystal (GGA-PBE).

The structure belongs to space group R-3m (No. 166, hexagonal axes); the cell edges are 8.2236, 8.2236 and 20.1499 Å and the angles 90.00°, 90.00° and 120.00°. The inequivalent atoms are La at (0.0000, 0.0000, 0.0000), Dy at (0.0000, 0.0000, 0.5000), Dy at (0.0000, 0.5000, 0.5000), Y at (0.0000, 0.5000, 0.0000), Se at (0.0000, 0.0000, 0.2496) and Se at (0.0076, 0.5038, 0.2477).

The uncorrected formation energy comes out at -1.7768 eV/atom. The calculation puts the raw total energy at -6.190 eV per atom. For the density of states at the Fermi level, the calculation gives 0.67 states/eV per atom.



Record 10
Entry from Alexandria: a relaxed Lu2GaPb crystal (GGA-PBE).

The structure belongs to space group P4/mmm (No. 123); the cell edges are 3.393, 3.393 and 8.478 Å and the angles 90.00°, 90.00° and 90.00°. The inequivalent atoms are Lu at (0.000, 0.000, 0.220), Ga at (0.500, 0.500, 0.000) and Pb at (0.500, 0.500, 0.500).

The formation energy is -0.43 eV/atom. The calculation puts the raw total energy at -4.371 eV per atom. For the density of states at the Fermi level, the calculation gives 0.55 states/eV per atom.



Record 11
Entry from Alexandria: a relaxed LaMoN3 crystal (GGA-PBE).

The structure belongs to space group P1 (No. 1); the cell edges are 3.733, 6.273 and 6.536 Å and the angles 114.19°, 99.82° and 97.13°. The inequivalent atoms are La at (0.000, 0.000, 0.000), La at (0.469, 0.206, 0.587), Mo at (0.386, 0.602, 0.168), Mo at (0.991, 0.601, 0.479), N at (0.078, 0.342, 0.861), N at (0.131, 0.534, 0.799), N at (0.395, 0.907, 0.731), N at (0.511, 0.337, 0.278), N at (0.558, 0.790, 0.557) and N at (0.964, 0.784, 0.257).

The uncorrected formation energy comes out at -0.4861 eV/atom. The calculation puts the raw total energy at -8.633 eV per atom. For the density of states at the Fermi level, the calculation gives 0.02 states/eV per atom.



Record 12
Entry from Alexandria: a relaxed Tb5Y4Er crystal (GGA-PBE).

The structure belongs to space group P-1 (No. 2); the cell edges are 3.562, 6.811 and 13.926 Å and the angles 82.46°, 89.76° and 74.88°. The inequivalent atoms are Tb at (0.000, 0.000, 0.000), Tb at (0.039, 0.917, 0.385), Tb at (0.317, 0.375, 0.416), Y at (0.315, 0.329, 0.790), Y at (0.378, 0.201, 0.192) and Er at (0.500, 0.500, 0.000).

The calculation puts the offset from the most stable computed form at 0.000 eV/atom. The formation energy is 0.06 eV/atom. The calculation puts the raw total energy at -5.299 eV per atom. For the density of states at the Fermi level, the calculation gives 1.84 states/eV per atom.